Entry 1:
A crystal of HfBiPCl2 relaxed with PBEsol, computed with SCAN.

Lattice parameters (Å, degrees): 4.788 4.788 5.236 90.00 90.00 90.00
Element x y z (fractional)
1 Hf 0.000 0.000 0.000
2 Cl 0.000 0.500 0.000
3 Cl 0.500 0.000 0.000
4 Bi 0.500 0.500 0.500
5 P 0.000 0.000 0.500

symmetry	No. 123
raw formation energy	-522	meV/atom



Entry 2:
A crystal of HfBiS2Cl relaxed with PBEsol, computed with SCAN.

Lattice parameters (Å, degrees): 5.060 5.229 5.229 90.00 90.00 90.00
Last column: magnetic moment on the atom in μB.
Element x y z (fractional)
1 Cl 0.500 0.000 0.000  0.02
2 Hf 0.500 0.500 0.500  1.27
3 S 0.000 0.500 0.000  -0.04
4 S 0.000 0.000 0.500  -0.04
5 Bi 0.000 0.000 0.000  0.02

symmetry	No. 123
raw formation energy	575	meV/atom



Number 1: size of the total moment 0.00 Bohr magnetons per cell. Number 2: size of the total moment 1.97 Bohr magnetons per cell.